No. 1
This record from Alexandria describes a relaxed PrPu5P6 crystal. The functional is PBE.

Properties
Magnetic moment = 1.228 μB/atom
Total DFT energy (no corrections) = -0.7531 Ry/atom
Density = 9.27 Mg/m³
Formation enthalpy at 0 K = -1.17 eV/atom

Lattice parameters (Å, degrees): 6.978 12.074 6.979 90.00 109.52 90.00
Space group C2/m (No. 12)
Inequivalent atoms, fractional coordinates:
Pr (0.000, 0.000, 0.000)
Pu (0.000, 0.164, 0.500)
Pu (0.000, 0.334, 0.000)
Pu (0.000, 0.500, 0.500)
P (0.242, 0.500, 0.254)
P (0.244, 0.327, 0.745)

***

No. 2
This record from Alexandria describes a relaxed LiSc2IrO6 crystal. The functional is PBE.

Properties
Magnetic moment = 0.204 μB/atom
Raw formation energy = -2.27 eV/atom
Total DFT energy (no corrections) = -0.5575 Ry/atom
Density = 5.51 Mg/m³

Lattice parameters (Å, degrees): 5.2649 5.2649 14.5118 90.00 90.00 120.00
Space group R3 (No. 146, hexagonal axes)
Inequivalent atoms, fractional coordinates:
Li (0.0000, 0.0000, 0.0000)
Sc (0.0000, 0.0000, 0.2696)
Sc (0.0000, 0.0000, 0.7786)
Ir (0.0000, 0.0000, 0.4665)
O (0.0018, 0.3513, 0.2038)
O (0.0063, 0.7092, 0.3785)

***

No. 3
This record from Alexandria describes a relaxed AlSN3 crystal. The functional is PBE.

Properties
Magnetic moment = 0.000 μB/atom
Raw formation energy = 1.43 eV/atom
Total DFT energy (no corrections) = -0.3775 Ry/atom
Density = 3.97 Mg/m³

Lattice parameters (Å, degrees): 3.484 3.484 3.484 90.00 90.00 90.00
Space group Pm-3m (No. 221)
Inequivalent atoms, fractional coordinates:
Al (0.000, 0.000, 0.000)
S (0.500, 0.500, 0.500)
N (0.000, 0.500, 0.500)

***

No. 4
This record from Alexandria describes a relaxed TmSi3Rh5 crystal. The functional is PBE.

Properties
Magnetic moment = 0.000 μB/atom
Raw formation energy = -0.74 eV/atom
Total DFT energy (no corrections) = -0.5241 Ry/atom
Density = 8.75 Mg/m³
Offset from the most stable computed form = 5.331 kcal/mol of atoms

Lattice parameters (Å, degrees): 3.879 12.306 12.211 90.00 90.00 90.00
Space group Cmcm (No. 63)
Inequivalent atoms, fractional coordinates:
Tm (0.000, 0.155, 0.250)
Si (0.000, 0.114, 0.750)
Si (0.000, 0.383, 0.541)
Rh (0.000, 0.000, 0.000)
Rh (0.000, 0.203, 0.576)
Rh (0.000, 0.451, 0.145)

***

No. 5
This record from Alexandria describes a relaxed Y2Al4AgPd3 crystal. The functional is PBE.

Properties
Magnetic moment = 0.000 μB/atom
Total DFT energy (no corrections) = -0.3949 Ry/atom
Density = 6.22 Mg/m³
Formation enthalpy at 0 K = -0.74 eV/atom

Lattice parameters (Å, degrees): 4.179 4.179 10.895 90.00 90.00 90.00
Space group P-4m2 (No. 115)
Inequivalent atoms, fractional coordinates:
Y (0.000, 0.500, 0.240)
Al (0.000, 0.000, 0.000)
Al (0.000, 0.500, 0.638)
Al (0.500, 0.500, 0.000)
Ag (0.000, 0.000, 0.500)
Pd (0.000, 0.500, 0.866)
Pd (0.500, 0.500, 0.500)

***

No. 6
This record from Alexandria describes a relaxed Ba2InBi3 crystal. The functional is PBE.

Properties
Magnetic moment = 0.000 μB/atom
Total DFT energy (no corrections) = -0.2691 Ry/atom
Density = 7.37 Mg/m³
Formation enthalpy at 0 K = -0.62 eV/atom
Offset from the most stable computed form = 0.000 kcal/mol of atoms

Lattice parameters (Å, degrees): 8.129 5.148 21.907 90.00 90.00 90.00
Space group Pnma (No. 62)
Inequivalent atoms, fractional coordinates:
Ba (0.149, 0.250, 0.214)
Ba (0.180, 0.250, 0.430)
In (0.014, 0.750, 0.062)
Bi (0.046, 0.250, 0.651)
Bi (0.170, 0.250, 0.814)
Bi (0.223, 0.250, 0.053)

***

No. 7
This record from Alexandria describes a relaxed TlFe2As crystal. The functional is PBE.

Properties
Magnetic moment = 1.146 μB/atom
Total DFT energy (no corrections) = -0.4096 Ry/atom
Density = 9.67 Mg/m³
Formation enthalpy at 0 K = 0.41 eV/atom
Offset from the most stable computed form = 4.983 kcal/mol of atoms

Lattice parameters (Å, degrees): 2.960 4.362 10.403 90.00 90.00 90.00
Space group Imm2 (No. 44)
Inequivalent atoms, fractional coordinates:
Tl (0.000, 0.000, 0.000)
Fe (0.000, 0.000, 0.460)
Fe (0.000, 0.500, 0.180)
As (0.000, 0.500, 0.771)

***

No. 8
This record from Alexandria describes a relaxed Hf2ScMo2 crystal. The functional is PBE.

Properties
Magnetic moment = 0.000 μB/atom
Total DFT energy (no corrections) = -0.6734 Ry/atom
Density = 9.19 Mg/m³
Formation enthalpy at 0 K = 0.42 eV/atom
Offset from the most stable computed form = 6.210 kcal/mol of atoms

Lattice parameters (Å, degrees): 4.211 4.211 12.106 90.00 90.00 90.00
Space group I4/mmm (No. 139)
Inequivalent atoms, fractional coordinates:
Hf (0.000, 0.500, 0.250)
Sc (0.000, 0.000, 0.000)
Mo (0.000, 0.000, 0.403)